VASP calculation (PBE-GGA) on a relaxed structure of SmThZr.

**SG**: F-43m (216)
**Crystal system**: cubic
**Energy of formation**: 0.962 eV/atom
**VASP energy**: -5.93 eV/atom

abc: 5.177 5.177 5.177
angles: 60.00 60.00 60.00
Fractional positions:
Sm 0.000 0.000 0.000
Th 0.250 0.250 0.250
Zr 0.750 0.750 0.750